First-principles (GGA-PBE) data for a relaxed Cs3NpAu2I9 crystal, as listed in the Alexandria database.

Computed properties:
The calculation puts the raw formation energy at -853.6 meV/atom. The magnetization comes out at 3.330 μB per cell.

abc: 8.6162 8.6162 10.4866
angles: 90.00 90.00 120.00
Fractional positions:
1 Cs 0.0000 0.0000 0.0000
2 Cs 0.3333 0.6667 0.6865
3 Cs 0.6667 0.3333 0.3135
4 Np 0.0000 0.0000 0.5000
5 Au 0.3333 0.6667 0.1302
6 Au 0.6667 0.3333 0.8698
7 I 0.0000 0.5000 0.0000
8 I 0.1671 0.3342 0.3346
9 I 0.1671 0.8329 0.3346
10 I 0.3342 0.1671 0.6654
11 I 0.5000 0.0000 0.0000
12 I 0.5000 0.5000 0.0000
13 I 0.6658 0.8329 0.3346
14 I 0.8329 0.1671 0.6654
15 I 0.8329 0.6658 0.6654